No. 1
! Ba2Mg3ScPb4 PBE optimized geometry; values from VASP
! Calculated total energy in eV/atom: -3.374
! ΔH_f (0 K) in eV per atom: -0.394
! Fermi-level density of states in states/eV/cell: 4.35
&SYSTEM
  ibrav = 0, nat = 10, ntyp = 4
/
ATOMIC_SPECIES
Pb 207.20 Pb.upf
Mg 24.30 Mg.upf
Sc 44.96 Sc.upf
Ba 137.33 Ba.upf
ATOMIC_POSITIONS crystal
Pb 0.000 0.500 0.368
Mg 0.000 0.000 0.500
Sc 0.500 0.500 0.500
Ba 0.500 0.000 0.239
Pb 0.500 0.500 0.000
Pb 0.500 0.000 0.632
Mg 0.500 0.000 0.870
Pb 0.000 0.000 0.000
Ba 0.000 0.500 0.761
Mg 0.000 0.500 0.130
CELL_PARAMETERS angstrom
5.085 0.000 0.000
0.000 5.085 0.000
0.000 0.000 12.193

No. 2
! MgScP PBE optimized geometry; values from VASP
! Calculated total energy in eV/atom: -5.086
! ΔH_f (0 K) in eV per atom: -0.640
&SYSTEM
  ibrav = 0, nat = 3, ntyp = 3
/
ATOMIC_SPECIES
P 30.97 P.upf
Mg 24.30 Mg.upf
Sc 44.96 Sc.upf
ATOMIC_POSITIONS crystal
P 0.667 0.333 0.343
Mg 0.000 0.000 0.072
Sc 0.333 0.667 0.586
CELL_PARAMETERS angstrom
3.770 0.000 0.000
-1.885 3.265 0.000
0.000 0.000 5.502

No. 3
! Tl2ZnAg2 PBE optimized geometry; values from VASP
! Calculated total energy in eV/atom: -2.095
! ΔH_f (0 K) in eV per atom: 0.247
! Fermi-level density of states in states/eV/cell: 3.85
! ΔE to the lowest computed polymorph in eV per formula unit: 0.51
&SYSTEM
  ibrav = 0, nat = 10, ntyp = 3
/
ATOMIC_SPECIES
Zn 65.41 Zn.upf
Tl 204.38 Tl.upf
Ag 107.87 Ag.upf
ATOMIC_POSITIONS crystal
Zn 0.500 0.500 0.000
Tl 0.821 0.679 0.000
Zn 0.000 0.000 0.000
Ag 0.881 0.381 0.500
Ag 0.381 0.119 0.500
Ag 0.119 0.619 0.500
Tl 0.321 0.821 0.000
Ag 0.619 0.881 0.500
Tl 0.679 0.179 0.000
Tl 0.179 0.321 0.000
CELL_PARAMETERS angstrom
8.433 0.000 0.000
0.000 8.433 0.000
0.000 0.000 3.357

No. 4
! AlGeW PBE optimized geometry; values from VASP
! Calculated total energy in eV/atom: -7.012
! ΔH_f (0 K) in eV per atom: 0.092
! Fermi-level density of states in states/eV/cell: 2.89
! ΔE to the lowest computed polymorph in eV per formula unit: 0.53
&SYSTEM
  ibrav = 0, nat = 6, ntyp = 3
/
ATOMIC_SPECIES
W 183.84 W.upf
Al 26.98 Al.upf
Ge 72.64 Ge.upf
ATOMIC_POSITIONS crystal
W 0.389 0.817 0.606
W 0.691 0.396 0.770
Al 0.068 0.163 0.445
Ge 0.753 0.547 0.313
Al 0.338 0.693 0.072
Ge 0.012 0.056 0.927
CELL_PARAMETERS angstrom
4.297 -0.049 -0.002
-2.172 4.599 -0.005
0.005 -1.371 4.999

No. 5
! SrPr2Lu PBE optimized geometry; values from VASP
! Calculated total energy in eV/atom: -3.746
! ΔH_f (0 K) in eV per atom: 0.195
! Fermi-level density of states in states/eV/cell: 5.73
! ΔE to the lowest computed polymorph in eV per formula unit: 0.41
&SYSTEM
  ibrav = 0, nat = 4, ntyp = 3
/
ATOMIC_SPECIES
Sr 87.62 Sr.upf
Lu 174.97 Lu.upf
Pr 140.91 Pr.upf
ATOMIC_POSITIONS crystal
Sr 0.500 0.500 0.500
Lu 0.000 0.000 0.000
Pr 0.250 0.250 0.250
Pr 0.750 0.750 0.750
CELL_PARAMETERS angstrom
-5.321 -2.649 0.392
-0.529 -5.218 2.825
-2.811 -0.276 5.245

No. 6
! KZnPdCl6 PBE optimized geometry; values from VASP
! Calculated total energy in eV/atom: -3.041
&SYSTEM
  ibrav = 0, nat = 9, ntyp = 4
/
ATOMIC_SPECIES
Cl 35.45 Cl.upf
K 39.10 K.upf
Zn 65.41 Zn.upf
Pd 106.42 Pd.upf
ATOMIC_POSITIONS crystal
Cl 0.624 0.371 0.712
K 0.003 0.998 0.000
Cl 0.990 0.634 0.694
Cl 0.371 0.638 0.310
Cl 0.990 0.375 0.306
Cl 0.625 0.004 0.288
Zn 0.356 0.322 0.500
Pd 0.669 0.666 0.500
Cl 0.371 0.990 0.690
CELL_PARAMETERS angstrom
6.342 0.144 -0.064
3.293 5.706 -0.125
-0.072 -0.130 7.031